Material: KMn2CoIr
Method: DFT, PBE-GGA
State: relaxed

Output
- uncorrected energy (eV/atom) = -5.52
- density of states at the Fermi level (states/eV/atom) = 0.91
- E_form (eV per atom) = 1.556

Unit cell a=4.548 b=4.548 c=4.728 alpha=90.00 beta=90.00 gamma=90.00
Space group P4/mmm (No. 123)
Asymmetric unit:
K: 0.000 0.000 0.000 [1 per cell]
Mn: 0.000 0.500 0.500 [2 per cell]
Co: 0.000 0.000 0.500 [1 per cell]
Ir: 0.500 0.500 0.000 [1 per cell]